A plane-wave DFT calculation with PBEsol was carried out for crystalline TcPt5 at its relaxed geometry.

Cell and atoms, written as POSCAR:
```
TcPt5
1.0
2.744 0.000 0.000
-1.372 5.136 -0.013
0.000 -1.777 6.310
Tc Pt
1 5
direct
0.723 0.445 0.946
0.004 0.008 0.998
0.386 0.773 0.268
0.668 0.337 0.330
0.057 0.114 0.617
0.328 0.656 0.673
```

SG ... Cm (8)
Total magnetization ... 0.000 μB per atom
ΔH_f (0 K) ... -0.030 eV per atom
Energy relative to the lowest polymorph listed for this composition ... 75.0 meV per atom

***

A plane-wave DFT calculation with PBEsol was carried out for crystalline LaReBr2 at its relaxed geometry.

Cell and atoms, written as POSCAR:
```
LaReBr2
1.0
3.357 0.000 0.000
0.000 4.237 0.000
-1.678 -2.118 6.854
Re Br La
1 2 1
direct
0.239 0.739 0.479
0.957 0.957 0.915
0.732 0.232 0.465
0.571 0.571 0.142
```

SG ... Imm2 (44)
Total magnetization ... 0.000 μB per atom
Energy relative to the lowest polymorph listed for this composition ... 89.4 meV per atom
Formation energy without anion corrections ... -0.01 eV/atom

***

A plane-wave DFT calculation with PBEsol was carried out for crystalline Fe2PbCl at its relaxed geometry.

Cell and atoms, written as POSCAR:
```
Fe2PbCl
1.0
3.152 0.000 0.000
0.000 3.152 0.000
0.000 0.000 7.414
Cl Fe Pb
1 2 1
direct
0.500 0.500 0.853
0.000 0.000 0.036
0.500 0.500 0.177
0.000 0.000 0.434
```

SG ... P4mm (99)
Total magnetization ... 1.411 μB per atom
Energy relative to the lowest polymorph listed for this composition ... 0.0 meV per atom
Formation energy without anion corrections ... 0.13 eV/atom

***

A plane-wave DFT calculation with PBEsol was carried out for crystalline K2Tl2Pt at its relaxed geometry.

Cell and atoms, written as POSCAR:
```
K2Tl2Pt
1.0
5.812 0.000 0.000
0.000 7.211 0.000
0.000 0.000 7.211
Tl K Pt
4 4 2
direct
0.000 0.346 0.846
0.000 0.846 0.654
0.000 0.654 0.154
0.000 0.154 0.346
0.500 0.181 0.681
0.500 0.681 0.819
0.500 0.819 0.319
0.500 0.319 0.181
0.000 0.000 0.000
0.000 0.500 0.500
```

SG ... P4/mbm (127)
Total magnetization ... 0.000 μB per atom
ΔH_f (0 K) ... -0.042 eV per atom

***

A plane-wave DFT calculation with PBEsol was carried out for crystalline Mn2PbIO at its relaxed geometry.

Cell and atoms, written as POSCAR:
```
Mn2PbIO
1.0
-1.521 -0.398 3.859
1.323 -3.950 0.113
5.501 1.910 2.365
Pb I Mn O
1 1 2 1
direct
0.500 0.500 0.500
0.000 0.000 0.500
0.000 0.500 0.000
0.500 0.000 0.000
0.000 0.000 0.000
```

SG ... P4/mmm (123)
Total magnetization ... 1.660 μB per atom
Formation energy without anion corrections ... 0.15 eV/atom

***

A plane-wave DFT calculation with PBEsol was carried out for crystalline K3Sr at its relaxed geometry.

Cell and atoms, written as POSCAR:
```
K3Sr
1.0
-0.693 -3.220 -2.925
4.106 1.332 0.878
0.963 -10.277 11.086
Sr K
1 3
direct
0.333 0.667 0.500
0.000 0.000 0.257
0.000 0.000 0.743
0.333 0.667 0.000
```

SG ... P-6m2 (187)
Total magnetization ... 0.000 μB per atom
ΔH_f (0 K) ... 0.059 eV per atom
Energy relative to the lowest polymorph listed for this composition ... 0.0 meV per atom

***

A plane-wave DFT calculation with PBEsol was carried out for crystalline Na3Ge at its relaxed geometry.

Cell and atoms, written as POSCAR:
```
Na3Ge
1.0
4.620 0.000 0.000
0.000 4.620 0.000
-2.310 -2.310 4.513
Na Ge
3 1
direct
0.250 0.750 0.500
0.750 0.250 0.500
0.500 0.500 0.000
0.000 0.000 0.000
```

SG ... I4/mmm (139)
Total magnetization ... 0.000 μB per atom
ΔH_f (0 K) ... 0.001 eV per atom

***

A plane-wave DFT calculation with PBEsol was carried out for crystalline Sc2AlAg at its relaxed geometry.

Cell and atoms, written as POSCAR:
```
Sc2AlAg
1.0
3.186 0.000 0.000
1.593 2.759 0.000
1.593 0.920 9.097
Sc Al Ag
2 1 1
direct
0.249 0.249 0.253
0.751 0.751 0.747
0.500 0.500 0.500
0.000 0.000 0.000
```

SG ... R-3m (166)
Total magnetization ... 0.000 μB per atom
ΔH_f (0 K) ... -0.128 eV per atom

***

A plane-wave DFT calculation with PBEsol was carried out for crystalline La2PbW at its relaxed geometry.

Cell and atoms, written as POSCAR:
```
La2PbW
1.0
-0.362 -1.846 2.571
2.077 -4.526 -2.957
4.446 2.690 2.557
La Pb W
2 1 1
direct
0.000 0.500 0.000
0.000 0.000 0.500
0.500 0.000 0.000
0.500 0.500 0.500
```

SG ... Cmmm (65)
Total magnetization ... 0.000 μB per atom
ΔH_f (0 K) ... 0.339 eV per atom

***

A plane-wave DFT calculation with PBEsol was carried out for crystalline CrCuTc2 at its relaxed geometry.

Cell and atoms, written as POSCAR:
```
CrCuTc2
1.0
-0.955 -0.033 2.436
-4.175 -0.650 -1.646
1.984 -4.012 0.724
Cr Cu Tc
1 1 2
direct
0.500 0.000 0.000
0.500 0.500 0.500
0.000 0.500 0.000
0.000 0.000 0.500
```

SG ... Cmmm (65)
Total magnetization ... 0.000 μB per atom
ΔH_f (0 K) ... 0.262 eV per atom
Energy relative to the lowest polymorph listed for this composition ... 46.6 meV per atom

***

A plane-wave DFT calculation with PBEsol was carried out for crystalline AlB2Ir2 at its relaxed geometry.

Cell and atoms, written as POSCAR:
```
AlB2Ir2
1.0
-2.344 -1.912 -0.335
1.793 -2.334 0.773
-1.201 2.914 5.597
B Al Ir
2 1 2
direct
0.250 0.750 0.500
0.750 0.250 0.500
0.000 0.000 0.000
0.377 0.377 0.755
0.623 0.623 0.245
```

SG ... I4/mmm (139)
Total magnetization ... 0.000 μB per atom
ΔH_f (0 K) ... -0.452 eV per atom

***

A plane-wave DFT calculation with PBEsol was carried out for crystalline MgZr2Si at its relaxed geometry.

Cell and atoms, written as POSCAR:
```
MgZr2Si
1.0
-3.056 -0.696 1.863
-0.886 -2.581 -2.418
2.922 -4.069 3.272
Mg Si Zr
1 1 2
direct
0.000 0.000 0.509
0.500 0.500 0.768
0.000 0.000 0.984
0.500 0.500 0.239
```

SG ... P4mm (99)
Total magnetization ... 0.001 μB per atom
Formation energy without anion corrections ... -0.12 eV/atom

***

What did the ninth record say?
A plane-wave DFT calculation with PBEsol was carried out for crystalline La2PbW at its relaxed geometry.

Cell and atoms, written as POSCAR:
```
La2PbW
1.0
-0.362 -1.846 2.571
2.077 -4.526 -2.957
4.446 2.690 2.557
La Pb W
2 1 1
direct
0.000 0.500 0.000
0.000 0.000 0.500
0.500 0.000 0.000
0.500 0.500 0.500
```

SG ... Cmmm (65)
Total magnetization ... 0.000 μB per atom
ΔH_f (0 K) ... 0.339 eV per atom

***

Which of these has the highest total magnetization? Mn2PbIO

***

Copy entry 6 word for word.
A plane-wave DFT calculation with PBEsol was carried out for crystalline K3Sr at its relaxed geometry.

Cell and atoms, written as POSCAR:
```
K3Sr
1.0
-0.693 -3.220 -2.925
4.106 1.332 0.878
0.963 -10.277 11.086
Sr K
1 3
direct
0.333 0.667 0.500
0.000 0.000 0.257
0.000 0.000 0.743
0.333 0.667 0.000
```

SG ... P-6m2 (187)
Total magnetization ... 0.000 μB per atom
ΔH_f (0 K) ... 0.059 eV per atom
Energy relative to the lowest polymorph listed for this composition ... 0.0 meV per atom

***

Copy entry 10 word for word.
A plane-wave DFT calculation with PBEsol was carried out for crystalline CrCuTc2 at its relaxed geometry.

Cell and atoms, written as POSCAR:
```
CrCuTc2
1.0
-0.955 -0.033 2.436
-4.175 -0.650 -1.646
1.984 -4.012 0.724
Cr Cu Tc
1 1 2
direct
0.500 0.000 0.000
0.500 0.500 0.500
0.000 0.500 0.000
0.000 0.000 0.500
```

SG ... Cmmm (65)
Total magnetization ... 0.000 μB per atom
ΔH_f (0 K) ... 0.262 eV per atom
Energy relative to the lowest polymorph listed for this composition ... 46.6 meV per atom